1.
First-principles (PBE) data for crystalline SrLi2Se at its relaxed geometry, as listed in Alexandria via LeMat-Bulk.

Space group: R-3m (166)
DOS(E_F), states/eV/cell: 1.08
Density, g/cm3: 2.80
Uncorrected formation energy, eV/f.u.: -3.01

Unit cell a=7.3550 b=7.3550 c=7.3550 alpha=33.33 beta=33.33 gamma=33.33
With the nearest neighbours (Å) after each atom.
Fractional coordinates of all 4 atoms:
Se 0.2500 0.2500 0.2500  6 Li 2.56
Sr 0.7500 0.7500 0.7500  6 Li 3.63
Li 0.9542 0.9542 0.9542  3 Se 2.56
Li 0.5458 0.5458 0.5458  3 Se 2.56

2.
First-principles (PBE) data for crystalline Sr2LiSe at its relaxed geometry, as listed in Alexandria via LeMat-Bulk.

Space group: Cmmm (65)
DOS(E_F), states/eV/cell: 2.43
Density, g/cm3: 3.48
Uncorrected formation energy, eV/f.u.: -3.35

Unit cell a=3.9971 b=3.9971 c=7.8043 alpha=90.00 beta=90.00 gamma=90.12
With the nearest neighbours (Å) after each atom.
Fractional coordinates of all 4 atoms:
Li 0.5000 0.5000 0.2500  8 Sr 3.52, 2 Se 3.90
Sr 0.0000 0.0000 0.9813  4 Se 3.35-3.36, 4 Li 3.52, 1 Sr 3.61
Sr 0.0000 0.0000 0.5187  4 Se 3.35-3.36, 4 Li 3.52, 1 Sr 3.61
Se 0.5000 0.5000 0.7500  8 Sr 3.35-3.36